Arrangement 1

Here is K2WBr after structural relaxation from Alexandria via LeMat-Bulk. Energies are from PBE.

Geometry as POSCAR:
```
K2WBr
1.0
0.000 4.226 4.226
4.226 0.000 4.226
4.226 4.226 0.000
K Br W
2 1 1
Cartesian
6.339 6.339 6.339
2.113 2.113 2.113
0.000 0.000 0.000
4.226 4.226 4.226
```

Arrangement 2

Here is K2WBr after structural relaxation from Alexandria via LeMat-Bulk. Energies are from PBE.

Geometry as POSCAR:
```
K2WBr
1.0
9.895 0.044 -0.010
8.198 5.543 0.010
-8.951 -3.103 2.859
Br K W
1 2 1
Cartesian
3.313 2.359 1.434
5.661 0.073 1.425
1.171 0.362 0.000
8.043 2.484 0.000
```

Stability, highest: arrangement 2

Arrangement 1

Here is KW3Br after structural relaxation from Alexandria via LeMat-Bulk. Energies are from PBE.

Geometry as POSCAR:
```
KW3Br
1.0
-3.327 -3.253 0.683
3.006 -2.533 2.582
-1.418 2.263 3.871
W K Br
3 1 1
Cartesian
1.503 -1.266 1.291
-0.709 1.132 1.936
-1.664 -1.626 0.341
0.000 0.000 0.000
-0.870 -1.761 3.568
```

Arrangement 2

Here is KW3Br after structural relaxation from Alexandria via LeMat-Bulk. Energies are from PBE.

Geometry as POSCAR:
```
KW3Br
1.0
4.764 0.000 0.000
0.000 4.764 0.000
0.000 0.000 4.764
Br W K
1 3 1
Cartesian
0.000 0.000 0.000
2.382 0.000 0.000
0.000 2.382 0.000
0.000 0.000 2.382
2.382 2.382 2.382
```

Stability, highest: arrangement 2

Arrangement 1

Here is KWBr6 after structural relaxation from Alexandria via LeMat-Bulk. Energies are from PBE.

Geometry as POSCAR:
```
KWBr6
1.0
6.932 0.688 -1.361
-3.054 6.261 -1.361
-0.115 -0.206 6.575
W K Br
1 1 6
Cartesian
1.882 3.372 1.927
0.000 0.000 0.000
-0.101 3.464 0.392
0.819 1.468 3.180
2.944 5.275 0.673
0.762 5.010 3.462
3.001 1.733 0.392
3.864 3.279 3.462
```

Arrangement 2

Here is KWBr6 after structural relaxation from Alexandria via LeMat-Bulk. Energies are from PBE.

Geometry as POSCAR:
```
KWBr6
1.0
-4.119 2.572 -5.398
2.301 -0.484 -6.870
-3.549 -5.213 -4.659
Br W K
6 1 1
Cartesian
-5.605 -1.924 -11.290
-3.048 0.363 -4.884
-0.940 -0.954 -2.121
-2.319 -3.488 -12.043
-4.427 -2.172 -14.805
0.237 -1.201 -5.637
0.000 0.000 0.000
-2.684 -1.563 -8.463
```

Stability, highest: arrangement 1